Density functional theory data (GGA-PBE) for a relaxed ReC2 crystal.

Values from the calculation:
Crystal system ... tetragonal
Mass density ... 9.65 g/cm3
Size of the total moment ... 0.00 μB/atom
E above lowest polymorph ... 294 kJ/mol of formula units
SG ... P4_2/mnm
Formation enthalpy at 0 K ... 4.36 eV/f.u.

POSCAR file:
```
ReC2
1.0
-2.832 -2.508 -3.294
-1.927 -2.733 3.738
-2.100 1.935 0.332
C Re
4 2
Direct
0.211 0.211 0.000 C
0.789 0.789 0.000 C
0.711 0.289 0.500 C
0.289 0.711 0.500 C
0.500 0.500 0.000 Re
0.000 0.000 0.500 Re
```

Density functional theory data (GGA-PBE) for a relaxed HfFeBi crystal.

Values from the calculation:
Crystal system ... tetragonal
Mass density ... 10.91 g/cm3
Size of the total moment ... 0.53 μB/atom
SG ... I4/mmm
Formation enthalpy at 0 K ... -0.17 eV/f.u.

POSCAR file:
```
HfFeBi
1.0
-1.004 2.508 1.999
-3.202 -0.661 -0.779
1.435 -8.522 8.586
Fe Bi Hf
2 2 2
Direct
0.277 0.277 0.554 Fe
0.723 0.723 0.446 Fe
0.422 0.422 0.843 Bi
0.578 0.578 0.157 Bi
0.833 0.833 0.665 Hf
0.167 0.167 0.335 Hf
```

Density functional theory data (GGA-PBE) for a relaxed ScPd2I crystal.

Values from the calculation:
Crystal system ... cubic
Raw formation energy ... -244 meV/atom
Mass density ... 8.03 g/cm3
Size of the total moment ... 0.00 μB/atom
E above lowest polymorph ... 0 kJ/mol of formula units
SG ... Fm-3m

POSCAR file:
```
ScPd2I
1.0
3.567 3.118 0.927
-0.468 3.209 3.575
2.629 -0.466 4.021
I Pd Sc
1 2 1
Direct
0.500 0.500 0.500 I
0.250 0.250 0.250 Pd
0.750 0.750 0.750 Pd
0.000 0.000 0.000 Sc
```

Density functional theory data (GGA-PBE) for a relaxed KSr2Mn crystal.

Values from the calculation:
Crystal system ... orthorhombic
Mass density ... 2.62 g/cm3
Size of the total moment ... 0.99 μB/atom
E above lowest polymorph ... 80 kJ/mol of formula units
SG ... Cmmm
Formation enthalpy at 0 K ... 2.26 eV/f.u.

POSCAR file:
```
KSr2Mn
1.0
-9.502 -1.208 -1.726
4.458 -3.968 -0.762
-2.396 -3.183 2.533
K Mn Sr
1 1 2
Direct
0.000 0.500 0.500 K
0.500 0.500 0.000 Mn
0.500 0.000 0.500 Sr
0.000 0.000 0.000 Sr
```

Density functional theory data (GGA-PBE) for a relaxed SnCCl2 crystal.

Values from the calculation:
Crystal system ... tetragonal
Raw formation energy ... 1156 meV/atom
Mass density ... 3.56 g/cm3
Size of the total moment ... 0.00 μB/atom
E above lowest polymorph ... 0 kJ/mol of formula units
SG ... I4_1/amd

POSCAR file:
```
SnCCl2
1.0
6.437 0.000 0.000
0.000 6.437 0.000
3.218 3.218 4.545
Sn Cl C
2 4 2
Direct
0.000 0.000 0.000 Sn
0.750 0.250 0.500 Sn
0.375 0.125 0.250 Cl
0.875 0.625 0.750 Cl
0.375 0.625 0.250 Cl
0.375 0.625 0.750 Cl
0.250 0.750 0.500 C
0.500 0.500 0.000 C
```

Density functional theory data (GGA-PBE) for a relaxed Ta2FeAu crystal.

Values from the calculation:
Crystal system ... orthorhombic
Mass density ... 15.92 g/cm3
Size of the total moment ... 0.22 μB/atom
E above lowest polymorph ... 19 kJ/mol of formula units
SG ... Immm
Formation enthalpy at 0 K ... 0.08 eV/f.u.

POSCAR file:
```
Ta2FeAu
1.0
4.955 -0.011 0.003
3.596 3.409 0.003
1.848 0.734 3.789
Fe Ta Au
1 2 1
Direct
0.250 0.250 0.250 Fe
0.986 0.986 0.014 Ta
0.514 0.514 0.486 Ta
0.750 0.750 0.750 Au
```

Density functional theory data (GGA-PBE) for a relaxed KBa2Ni crystal.

Values from the calculation:
Crystal system ... tetragonal
Mass density ... 3.76 g/cm3
Size of the total moment ... 0.00 μB/atom
E above lowest polymorph ... 181 kJ/mol of formula units
SG ... I-4m2
Formation enthalpy at 0 K ... 2.03 eV/f.u.

POSCAR file:
```
KBa2Ni
1.0
7.234 0.088 0.000
3.522 6.319 0.000
-5.378 -3.203 3.626
Ba Ni K
2 1 1
Direct
0.000 0.000 0.000 Ba
0.250 0.750 0.500 Ba
0.750 0.250 0.500 Ni
0.500 0.500 0.000 K
```

Density functional theory data (GGA-PBE) for a relaxed GaSeO2F crystal.

Values from the calculation:
Crystal system ... tetragonal
Raw formation energy ... -644 meV/atom
Mass density ... 4.77 g/cm3
Size of the total moment ... 0.00 μB/atom
SG ... P4/mmm

POSCAR file:
```
GaSeO2F
1.0
-1.308 -3.525 -1.097
2.838 -0.215 -2.691
2.732 -1.959 3.038
F Se O Ga
1 1 2 1
Direct
0.000 0.000 0.500 F
0.000 0.000 0.000 Se
0.000 0.500 0.000 O
0.500 0.000 0.000 O
0.500 0.500 0.500 Ga
```

Density functional theory data (GGA-PBE) for a relaxed ReHO2 crystal.

Values from the calculation:
Crystal system ... tetragonal
Mass density ... 9.14 g/cm3
Size of the total moment ... 0.00 μB/atom
E above lowest polymorph ... 361 kJ/mol of formula units
SG ... I-42d

POSCAR file:
```
ReHO2
1.0
3.618 0.000 0.000
0.000 3.618 0.000
1.809 1.809 6.084
O Re H
4 2 2
Direct
0.663 0.125 0.250 O
0.375 0.337 0.750 O
0.087 0.625 0.250 O
0.875 0.913 0.750 O
0.750 0.250 0.500 Re
0.000 0.000 0.000 Re
0.500 0.500 0.000 H
0.250 0.750 0.500 H
```